Dy2Ni4Ge3Rh | GGA-PBE | optimized geometry

a b c (Å): 3.978 3.978 10.156
angles (deg): 90.00 90.00 90.00
Element x y z (fractional)
Dy 0.000 0.500 0.249
Dy 0.500 0.000 0.751
Ni 0.000 0.000 0.500
Ni 0.000 0.500 0.857
Ni 0.500 0.000 0.143
Ni 0.500 0.500 0.500
Ge 0.000 0.000 0.000
Ge 0.000 0.500 0.628
Ge 0.500 0.000 0.372
Rh 0.500 0.500 0.000

Values from the calculation:
* E_tot: -59.751 eV per cell
* formation enthalpy at 0 K: -600 kJ/mol of formula units



CePu2Cd | GGA-PBE | optimized geometry

a b c (Å): 4.668 4.668 4.896
angles (deg): 90.00 90.00 90.00
Element x y z (fractional)
Ce 0.000 0.000 0.000
Pu 0.000 0.500 0.500
Pu 0.500 0.000 0.500
Cd 0.500 0.500 0.000

Values from the calculation:
* excess energy over the best structure of this formula in the dataset: 0 meV per atom
* E_tot: -35.309 eV per cell
* formation enthalpy at 0 K: 20 kJ/mol of formula units